--- w ---
HgMo2P, relaxed, DFT GGA-PBE; magnetization = 0.0 Bohr magnetons per cell
1.0
-2.961 0.270 -0.522
0.026 -2.617 -1.506
-1.374 -3.468 6.002
Hg Mo P
1 2 1
direct
0.500 0.500 0.500 Hg
0.000 0.000 0.809 Mo
0.000 0.000 0.191 Mo
0.500 0.500 0.000 P


--- x ---
HgMo2P, relaxed, DFT GGA-PBE; magnetization = 0.0 Bohr magnetons per cell
1.0
-0.494 2.394 3.037
0.184 -3.044 2.429
9.265 0.776 3.398
P Mo Hg
2 4 2
direct
0.500 0.500 0.000 P
0.250 0.750 0.500 P
0.568 0.125 0.250 Mo
0.182 0.625 0.250 Mo
0.375 0.432 0.750 Mo
0.875 0.818 0.750 Mo
0.000 0.000 0.000 Hg
0.750 0.250 0.500 Hg


It is x that is the least stable of them.